# 1
First-principles (GGA-PBE) data for a geometry-optimized Y2HfW4 structure, as listed in the Alexandria database.

Unit cell a=4.8358 b=4.8358 c=8.1227 alpha=72.68 beta=72.68 gamma=90.00
Fractional positions:
Y: 0.6338 0.6338 0.7324
Y: 0.3662 0.3662 0.2676
Hf: 0.0000 0.0000 0.0000
W: 0.8289 0.8289 0.3423
W: 0.1711 0.1711 0.6577
W: 0.0000 0.5000 0.0000
W: 0.5000 0.0000 0.0000

Summary:
The volume comes out at 24.6 Å³ per atom. For the formation energy, the calculation gives 13.55 eV/f.u.

# 2
First-principles (GGA-PBE) data for a geometry-optimized YHfZn2W structure, as listed in the Alexandria database.

Unit cell a=4.9157 b=4.9928 c=4.9157 alpha=90.00 beta=90.00 gamma=90.00
Fractional positions:
Y: 0.0000 0.5000 0.0000
Zn: 0.0000 0.0000 0.5000
Zn: 0.5000 0.0000 0.0000
Hf: 0.5000 0.5000 0.5000
W: 0.0000 0.0000 0.0000

Summary:
The volume comes out at 24.1 Å³ per atom. For the formation energy, the calculation gives 5.76 eV/f.u.